#1
{
  "formula": "K2AgRu",
  "functional": "SCAN",
  "state": "single point on PBEsol structure",
  "lattice_angstrom": [[5.1475, 0.0000, 0.0000], [2.5737, 4.4579, 0.0000], [2.5737, 1.4860, 4.2029]],
  "species": ["Ag", "K", "K", "Ru"],
  "frac_coords": [[0.5000, 0.5000, 0.5000], [0.0000, 0.0000, 0.0000], [0.7500, 0.7500, 0.7500], [0.2500, 0.2500, 0.2500]],
  "rho_g_cm3": 4.944
}

=====

#2
{
  "formula": "K2AgRu",
  "functional": "SCAN",
  "state": "single point on PBEsol structure",
  "lattice_angstrom": [[-0.0952, -2.0961, 1.8417], [4.1627, 0.7700, 1.0917], [-2.9327, 6.1483, 6.8460]],
  "species": ["Ag", "K", "K", "Ru"],
  "frac_coords": [[0.5000, 0.5000, 0.6628], [0.0000, 0.0000, 0.9063], [0.5000, 0.5000, 0.3420], [0.0000, 0.0000, 0.5890]],
  "rho_g_cm3": 4.045
}

=====

Most stable structure, least stable structure: #2, #1.

=====

#1
{
  "formula": "KScAg2",
  "functional": "SCAN",
  "state": "single point on PBEsol structure",
  "lattice_angstrom": [[-1.0011, -2.0319, 2.5721], [1.9570, -2.6470, 0.9540], [4.9191, 4.0976, 7.4351]],
  "species": ["Ag", "Ag", "K", "Sc"],
  "frac_coords": [[0.2631, 0.2631, 0.2108], [0.7369, 0.7369, 0.7892], [0.5000, 0.5000, 0.5000], [0.0000, 0.0000, 0.0000]],
  "rho_g_cm3": 5.092
}

=====

#2
{
  "formula": "KScAg2",
  "functional": "SCAN",
  "state": "single point on PBEsol structure",
  "lattice_angstrom": [[3.1449, 0.0000, 0.0000], [0.0000, 5.3556, 0.0491], [0.0000, -0.0367, 5.3557]],
  "species": ["Ag", "Ag", "K", "Sc"],
  "frac_coords": [[0.0000, 0.5000, 0.0000], [0.0000, 0.0000, 0.5000], [0.5000, 0.0000, 0.0000], [0.5000, 0.5000, 0.5000]],
  "rho_g_cm3": 5.518
}

=====

Most stable structure, least stable structure: #2, #1.

=====

#1
{
  "formula": "KScAg2",
  "functional": "SCAN",
  "state": "single point on PBEsol structure",
  "lattice_angstrom": [[-2.2966, -1.9855, -0.5249], [3.4509, -4.0158, 0.0910], [-1.3695, 2.4459, 5.7820]],
  "species": ["Ag", "Ag", "K", "Sc"],
  "frac_coords": [[0.0097, 0.0097, 0.0193], [0.7188, 0.2188, 0.4376], [0.4860, 0.4860, 0.9720], [0.2855, 0.7855, 0.5710]],
  "rho_g_cm3": 5.402
}

=====

#2
{
  "formula": "KScAg2",
  "functional": "SCAN",
  "state": "single point on PBEsol structure",
  "lattice_angstrom": [[3.4779, 0.0000, 0.0000], [0.0000, 3.4779, 0.0000], [0.0000, 0.0000, 8.0427]],
  "species": ["Ag", "Ag", "K", "Sc"],
  "frac_coords": [[0.0000, 0.0000, 0.6819], [0.0000, 0.0000, 0.3181], [0.5000, 0.5000, 0.0000], [0.5000, 0.5000, 0.5000]],
  "rho_g_cm3": 5.117
}

=====

Most stable structure, least stable structure: #2, #1.

=====

#1
{
  "formula": "K2Sc2Ag",
  "functional": "SCAN",
  "state": "single point on PBEsol structure",
  "lattice_angstrom": [[-3.0838, -2.5253, 0.4061], [1.6687, -1.5043, 3.3173], [-3.7096, 8.2186, 3.1735]],
  "species": ["Ag", "K", "K", "Sc", "Sc"],
  "frac_coords": [[0.0000, 0.0000, 0.0000], [0.2500, 0.7500, 0.5000], [0.7500, 0.2500, 0.5000], [0.5727, 0.5727, 0.1453], [0.4273, 0.4273, 0.8547]],
  "rho_g_cm3": 3.127
}

=====

#2
{
  "formula": "K2Sc2Ag",
  "functional": "SCAN",
  "state": "single point on PBEsol structure",
  "lattice_angstrom": [[-3.0928, -2.5727, 0.1691], [0.6866, -0.5673, 3.9268], [-5.6025, 9.9090, 0.3468]],
  "species": ["Ag", "K", "K", "Sc", "Sc"],
  "frac_coords": [[0.0000, 0.0000, 0.0000], [0.5910, 0.5910, 0.1820], [0.4090, 0.4090, 0.8180], [0.2500, 0.7500, 0.5000], [0.7500, 0.2500, 0.5000]],
  "rho_g_cm3": 2.563
}

=====

Most stable structure, least stable structure: #2, #1.

=====

#1
{
  "formula": "KTc2Ag",
  "functional": "SCAN",
  "state": "single point on PBEsol structure",
  "lattice_angstrom": [[-0.8632, -1.6384, 2.4535], [-2.0216, -3.8656, -3.2925], [5.7806, 0.4771, 0.4266]],
  "species": ["Ag", "K", "Tc", "Tc"],
  "frac_coords": [[0.4665, 0.4665, 0.9329], [0.2577, 0.7577, 0.5154], [0.0544, 0.0544, 0.1088], [0.7214, 0.2214, 0.4429]],
  "rho_g_cm3": 6.920
}

=====

#2
{
  "formula": "KTc2Ag",
  "functional": "SCAN",
  "state": "single point on PBEsol structure",
  "lattice_angstrom": [[-1.6754, -0.6862, -1.8260], [1.3309, -4.6359, 2.0619], [-3.7829, 3.0711, 3.3568]],
  "species": ["Ag", "K", "Tc", "Tc"],
  "frac_coords": [[0.5000, 0.0000, 0.0000], [0.0000, 0.5000, 0.0000], [0.0000, 0.0000, 0.5000], [0.5000, 0.5000, 0.5000]],
  "rho_g_cm3": 8.176
}

=====

Most stable structure, least stable structure: #1, #2.

=====

#1
{
  "formula": "KAg2W",
  "functional": "SCAN",
  "state": "single point on PBEsol structure",
  "lattice_angstrom": [[2.7749, 0.0000, 0.0000], [0.0000, 2.7749, 0.0000], [0.0000, 0.0000, 9.9690]],
  "species": ["Ag", "Ag", "K", "W"],
  "frac_coords": [[0.0000, 0.0000, 0.0017], [0.5000, 0.5000, 0.2122], [0.0000, 0.0000, 0.4966], [0.5000, 0.5000, 0.7896]],
  "rho_g_cm3": 9.489
}

=====

#2
{
  "formula": "KAg2W",
  "functional": "SCAN",
  "state": "single point on PBEsol structure",
  "lattice_angstrom": [[-1.6573, 2.1200, -0.1922], [-3.7972, -2.7690, 2.2012], [4.3907, 2.0861, 4.0810]],
  "species": ["Ag", "Ag", "K", "W"],
  "frac_coords": [[0.0004, 0.0004, 0.0007], [0.7244, 0.2244, 0.4489], [0.4944, 0.4944, 0.9888], [0.2808, 0.7808, 0.5617]],
  "rho_g_cm3": 9.237
}

=====

Most stable structure, least stable structure: #1, #2.

=====

#1
{
  "formula": "KZn2Ag2",
  "functional": "SCAN",
  "state": "single point on PBEsol structure",
  "lattice_angstrom": [[-2.1723, -3.6788, 1.7674], [4.0514, -1.7018, 1.4374], [-1.4882, 5.1651, 2.8743]],
  "species": ["Zn", "Zn", "K", "Ag", "Ag"],
  "frac_coords": [[0.2500, 0.7500, 0.5000], [0.7500, 0.2500, 0.5000], [0.0000, 0.0000, 0.0000], [0.3667, 0.3667, 0.7334], [0.6333, 0.6333, 0.2666]],
  "rho_g_cm3": 5.823
}

=====

#2
{
  "formula": "KZn2Ag2",
  "functional": "SCAN",
  "state": "single point on PBEsol structure",
  "lattice_angstrom": [[-1.7977, 0.5915, 2.0121], [5.0102, -3.4901, 5.5024], [3.7205, 7.2306, 1.1986]],
  "species": ["Zn", "Zn", "Zn", "Zn", "K", "K", "Ag", "Ag", "Ag", "Ag"],
  "frac_coords": [[0.5000, 0.1188, 0.6188], [0.5000, 0.6188, 0.8812], [0.5000, 0.8812, 0.3812], [0.5000, 0.3812, 0.1188], [0.0000, 0.0000, 0.0000], [0.0000, 0.5000, 0.5000], [0.0000, 0.3273, 0.8273], [0.0000, 0.8273, 0.6727], [0.0000, 0.6727, 0.1727], [0.0000, 0.1727, 0.3273]],
  "rho_g_cm3": 6.863
}

=====

Most stable structure, least stable structure: #2, #1.

=====

#1
{
  "formula": "Li2LaAg",
  "functional": "SCAN",
  "state": "single point on PBEsol structure",
  "lattice_angstrom": [[3.3020, 0.0000, 0.0000], [-1.6510, 5.1763, 0.0081], [0.0000, -1.3249, 5.1817]],
  "species": ["La", "Ag", "Li", "Li"],
  "frac_coords": [[0.5000, 0.0000, 0.0000], [0.0000, 0.0000, 0.5000], [0.7222, 0.4445, 0.6879], [0.2778, 0.5555, 0.3121]],
  "rho_g_cm3": 4.885
}

=====

#2
{
  "formula": "Li2LaAg",
  "functional": "SCAN",
  "state": "single point on PBEsol structure",
  "lattice_angstrom": [[3.4160, 0.0000, 0.0000], [0.0000, 3.4160, 0.0000], [0.0000, 0.0000, 7.5366]],
  "species": ["La", "Ag", "Li", "Li"],
  "frac_coords": [[0.5000, 0.5000, 0.7201], [0.0000, 0.0000, 0.4410], [0.0000, 0.0000, 0.0660], [0.5000, 0.5000, 0.2728]],
  "rho_g_cm3": 4.922
}

=====

Most stable structure, least stable structure: #2, #1.

=====

#1
{
  "formula": "Li2LaAg",
  "functional": "SCAN",
  "state": "single point on PBEsol structure",
  "lattice_angstrom": [[-0.6130, 2.3266, 2.2501], [0.3720, -3.6403, 3.8653], [5.2963, 1.6226, -2.6463]],
  "species": ["La", "Ag", "Li", "Li"],
  "frac_coords": [[0.0000, 0.5000, 0.0000], [0.5000, 0.0000, 0.0000], [0.7915, 0.7915, 0.5829], [0.2085, 0.2085, 0.4171]],
  "rho_g_cm3": 4.674
}

=====

#2
{
  "formula": "Li2LaAg",
  "functional": "SCAN",
  "state": "single point on PBEsol structure",
  "lattice_angstrom": [[-1.6179, -4.2148, 0.8169], [2.3906, -2.9060, 2.6247], [-2.1296, -0.6703, 5.2072]],
  "species": ["La", "Ag", "Li", "Li"],
  "frac_coords": [[0.7548, 0.7548, 0.7356], [0.5467, 0.5467, 0.3598], [0.9598, 0.9598, 0.1207], [0.2434, 0.2434, 0.2699]],
  "rho_g_cm3": 4.741
}

=====

Most stable structure, least stable structure: #2, #1.

=====

#1
{
  "formula": "LiLaAg",
  "functional": "SCAN",
  "state": "single point on PBEsol structure",
  "lattice_angstrom": [[-2.6393, -0.0382, 2.4064], [0.9372, -3.3058, 0.9755], [4.1439, 3.6806, 1.9526]],
  "species": ["La", "Ag", "Li"],
  "frac_coords": [[0.6602, 0.6602, 0.3204], [0.9715, 0.9715, 0.9430], [0.3683, 0.3683, 0.7366]],
  "rho_g_cm3": 6.224
}

=====

#2
{
  "formula": "LiLaAg",
  "functional": "SCAN",
  "state": "single point on PBEsol structure",
  "lattice_angstrom": [[-0.6077, 3.4047, 0.8460], [-4.6365, -0.6088, -0.8803], [1.7145, -0.7798, 4.3698]],
  "species": ["La", "Ag", "Li"],
  "frac_coords": [[0.0000, 0.3333, 0.6667], [0.5000, 0.0000, 0.0000], [0.5000, 0.6667, 0.3333]],
  "rho_g_cm3": 6.034
}

=====

Most stable structure, least stable structure: #2, #1.

=====

#1
{
  "formula": "LaAgMo2",
  "functional": "SCAN",
  "state": "single point on PBEsol structure",
  "lattice_angstrom": [[2.9199, 0.0102, 0.0000], [-1.1441, 2.6865, 0.0000], [0.0000, 0.0000, 9.6217]],
  "species": ["Ag", "La", "Mo", "Mo"],
  "frac_coords": [[0.0000, 0.0000, 0.5282], [0.5000, 0.5000, 0.2393], [0.0000, 0.0000, 0.9651], [0.5000, 0.5000, 0.7674]],
  "rho_g_cm3": 9.637
}

=====

#2
{
  "formula": "LaAgMo2",
  "functional": "SCAN",
  "state": "single point on PBEsol structure",
  "lattice_angstrom": [[-2.0859, 0.5690, -1.6917], [-1.0588, -2.4893, 0.4682], [-5.0921, 3.5729, 7.4802]],
  "species": ["Ag", "La", "Mo", "Mo"],
  "frac_coords": [[0.5000, 0.5000, 0.0000], [0.5000, 0.5000, 0.5000], [0.0000, 0.0000, 0.7776], [0.0000, 0.0000, 0.2224]],
  "rho_g_cm3": 9.934
}

=====

Most stable structure, least stable structure: #1, #2.

=====

#1
{
  "formula": "La2Ni2Ag",
  "functional": "SCAN",
  "state": "single point on PBEsol structure",
  "lattice_angstrom": [[3.8235, 0.0000, 0.0000], [0.0000, 7.3423, 0.0000], [0.0000, 0.0000, 7.3423]],
  "species": ["Ni", "Ni", "Ni", "Ni", "Ag", "Ag", "La", "La", "La", "La"],
  "frac_coords": [[0.0000, 0.3803, 0.8803], [0.0000, 0.8803, 0.6197], [0.0000, 0.6197, 0.1197], [0.0000, 0.1197, 0.3803], [0.0000, 0.0000, 0.0000], [0.0000, 0.5000, 0.5000], [0.5000, 0.1772, 0.6772], [0.5000, 0.6772, 0.8228], [0.5000, 0.8228, 0.3228], [0.5000, 0.3228, 0.1772]],
  "rho_g_cm3": 8.105
}

=====

#2
{
  "formula": "La2Ni2Ag",
  "functional": "SCAN",
  "state": "single point on PBEsol structure",
  "lattice_angstrom": [[-1.4515, -0.9601, -5.0509], [-3.0863, -1.6820, 4.0319], [-4.7137, 2.3441, 0.9090]],
  "species": ["Ni", "Ni", "Ag", "La", "La"],
  "frac_coords": [[0.6534, 0.3067, 0.3466], [0.3466, 0.6933, 0.6534], [0.0000, 0.0000, 0.0000], [0.7500, 0.5000, 0.7500], [0.2500, 0.5000, 0.2500]],
  "rho_g_cm3": 7.729
}

=====

Most stable structure, least stable structure: #1, #2.

=====

#1
{
  "formula": "LaReAg2",
  "functional": "SCAN",
  "state": "single point on PBEsol structure",
  "lattice_angstrom": [[-1.6435, 0.9530, -2.1254], [-2.6286, -3.7966, 2.2420], [-1.7673, 4.0962, 3.2033]],
  "species": ["Re", "Ag", "Ag", "La"],
  "frac_coords": [[0.2579, 0.5158, 0.7704], [0.9977, 0.9954, 0.0016], [0.7422, 0.4844, 0.2161], [0.5022, 0.0044, 0.5120]],
  "rho_g_cm3": 11.744
}

=====

#2
{
  "formula": "LaReAg2",
  "functional": "SCAN",
  "state": "single point on PBEsol structure",
  "lattice_angstrom": [[2.8556, 0.0000, 0.0000], [0.0000, 4.5703, 0.0000], [0.0000, 0.0000, 5.7886]],
  "species": ["Re", "Ag", "Ag", "La"],
  "frac_coords": [[0.5000, 0.5000, 0.5000], [0.0000, 0.0000, 0.7244], [0.0000, 0.0000, 0.2756], [0.5000, 0.5000, 0.0000]],
  "rho_g_cm3": 11.888
}

=====

Most stable structure, least stable structure: #2, #1.

=====

#1
{
  "formula": "LaRe2Ag",
  "functional": "SCAN",
  "state": "single point on PBEsol structure",
  "lattice_angstrom": [[3.0042, 0.0013, 0.0000], [-0.1830, 4.9048, 0.0000], [0.0000, 0.0000, 5.0252]],
  "species": ["Re", "Re", "Ag", "La"],
  "frac_coords": [[0.1858, 0.2379, 0.0000], [0.8142, 0.7621, 0.0000], [0.0000, 0.5000, 0.5000], [0.5000, 0.0000, 0.5000]],
  "rho_g_cm3": 13.886
}

=====

#2
{
  "formula": "LaRe2Ag",
  "functional": "SCAN",
  "state": "single point on PBEsol structure",
  "lattice_angstrom": [[-2.8454, -1.3814, 0.0250], [2.0401, -4.1957, 0.3515], [-0.1275, 0.3522, 4.9447]],
  "species": ["Re", "Re", "Ag", "La"],
  "frac_coords": [[0.0000, 0.0000, 0.0000], [0.5000, 0.5000, 0.0000], [0.5000, 0.0000, 0.5000], [0.0000, 0.5000, 0.5000]],
  "rho_g_cm3": 14.011
}

=====

Most stable structure, least stable structure: #2, #1.